# Ce2ZnGa7 (PBE, relaxed)
data_Ce2ZnGa7
_symmetry_space_group_name_H-M 'P -4 m 2'
_symmetry_Int_Tables_number 115
_cell_length_a 4.289
_cell_length_b 4.289
_cell_length_c 10.746
_cell_angle_alpha 90.00
_cell_angle_beta 90.00
_cell_angle_gamma 90.00
loop_
_symmetry_equiv_pos_as_xyz
'x,y,z'
'y,-x,-z'
'-x,-y,z'
'-y,x,-z'
'-x,y,z'
'-y,-x,-z'
'x,-y,z'
'y,x,-z'
loop_
_atom_site_label
_atom_site_fract_x
_atom_site_fract_y
_atom_site_fract_z
Ce1 0.000 0.500 0.250
Zn1 0.000 0.000 0.500
Ga1 0.000 0.000 0.000
Ga2 0.000 0.500 0.633
Ga3 0.000 0.500 0.863
Ga4 0.500 0.500 0.000
Ga5 0.500 0.500 0.500
# DOS(E_F) = 1.571 states/eV/atom
# E_tot = -3.85 eV/atom
# Total moment = 2.05 μB per formula unit